# Ba2CdCoN

Ba2CdCoN after structural relaxation (PBE-GGA, Alexandria via LeMat-Bulk).

energy relative to the elements, uncorrected: -0.2957 eV per atom
total moment: 0.000 μB per atom

Cell: 5.953 5.953 3.591 Å, 90.00 90.00 90.00°
Positions (direct):
N 0.000 0.000 0.000
Co 0.000 0.000 0.500
Ba 0.000 0.500 0.000
Ba 0.500 0.000 0.000
Cd 0.500 0.500 0.500